# 1
# MgMnWS4

A relaxed MgMnWS4 crystal (PBE, the Alexandria database).

Cell: 7.415 7.415 7.415 Å, 124.71 120.87 85.27°
Atoms (fractional coordinates):
Mg1 0.000 0.000 0.000
Mg2 0.734 0.234 0.500
Mn1 0.394 0.652 0.741
Mn2 0.911 0.652 0.259
W1 0.382 0.180 0.798
W2 0.382 0.585 0.202
S1 0.132 0.393 0.739
S2 0.160 0.412 0.253
S3 0.160 0.907 0.747
S4 0.166 0.882 0.285
S5 0.597 0.882 0.715
S6 0.607 0.388 0.781
S7 0.607 0.825 0.219
S8 0.655 0.393 0.261

Computed properties:
Formation energy from raw total energies: -700 meV per atom

# 2
# Ca3ZnAu8

A relaxed Ca3ZnAu8 crystal (PBE, the Alexandria database).

Cell: 9.676 9.676 9.676 Å, 34.27 34.27 34.27°
Atoms (fractional coordinates):
Ca1 0.000 0.000 0.000
Ca2 0.130 0.130 0.130
Ca3 0.610 0.610 0.610
Zn1 0.480 0.480 0.480
Au1 0.058 0.562 0.562
Au2 0.060 0.060 0.564
Au3 0.060 0.564 0.060
Au4 0.311 0.311 0.311
Au5 0.562 0.058 0.562
Au6 0.562 0.562 0.058
Au7 0.564 0.060 0.060
Au8 0.811 0.811 0.811

Computed properties:
Formation energy: -5.892 eV/f.u.

# 3
# Tl3Hg2Bi3Sb

A relaxed Tl3Hg2Bi3Sb crystal (PBE, the Alexandria database).

Cell: 8.130 8.130 4.984 Å, 90.00 90.00 120.00°
Atoms (fractional coordinates):
Tl1 0.000 0.423 0.000
Tl2 0.423 0.000 0.000
Tl3 0.577 0.577 0.000
Hg1 0.333 0.667 0.500
Hg2 0.667 0.333 0.500
Bi1 0.000 0.741 0.500
Bi2 0.259 0.259 0.500
Bi3 0.741 0.000 0.500
Sb1 0.000 0.000 0.000

Computed properties:
Formation energy from raw total energies: 54 meV per atom

Going through the records in order, we get calculated total energy values of -6.447 -3.282 -2.553 eV per atom.
Going through the records in order, we get ρ values of 4.7 11.4 10.3 g/cm³.